Below is PaS2O6F2 after structural relaxation, with properties calculated at the PBE level.

## Properties
ΔE_f (raw): -1.63 eV/atom
space-group type: No. 164
total magnetization: 0.085 μB per atom
calculated density: 4.17 Mg/m³

Unit cell a=6.048 b=6.048 c=5.394 alpha=90.00 beta=90.00 gamma=120.00
Atoms (fractional coordinates):
Pa 0.000 0.000 0.000
S 0.333 0.667 0.790
S 0.667 0.333 0.210
O 0.178 0.356 0.783
O 0.178 0.822 0.783
O 0.356 0.178 0.217
O 0.644 0.822 0.783
O 0.822 0.178 0.217
O 0.822 0.644 0.217
F 0.333 0.667 0.486
F 0.667 0.333 0.514